# CuBiO4

A geometry-optimized CuBiO4 structure (PBE, the Alexandria database). Values from VASP.

Cell and atoms, written as Quantum ESPRESSO input:
```
&SYSTEM
  ibrav = 0, nat = 12, ntyp = 3
/
ATOMIC_SPECIES
Cu 63.55 Cu.upf
Bi 208.98 Bi.upf
O 16.00 O.upf
CELL_PARAMETERS angstrom
5.1518 0.0000 0.0000
0.0000 4.8497 0.0000
0.0000 0.0000 5.8625
ATOMIC_POSITIONS angstrom
Cu 0.0000 0.0000 0.0000
Cu 0.0000 2.4249 2.9313
Bi 2.5759 0.0000 3.9661
Bi 2.5759 2.4249 1.0348
O 0.8405 1.1889 4.3842
O 0.8405 1.2359 1.4530
O 1.5798 3.4544 2.6921
O 1.5798 3.8202 5.6233
O 3.5719 1.0295 5.6233
O 3.5719 1.3953 2.6921
O 4.3113 3.6138 1.4530
O 4.3113 3.6608 4.3842
```

* Fermi-level density of states: 5.347 states/eV per cell
* calculated total energy: -5.155 eV per atom
* ΔE_f (raw): -0.520 eV per atom
* SG: Pnc2